Computed, not measured: MnCuBr4 after structural relaxation at the PBE level of DFT.

a b c (Å): 6.182 6.177 11.040
angles (deg): 90.00 90.00 90.00
Site moments in Bohr magnetons follow the coordinates.
Positions (direct):
Mn1 0.000 0.500 0.000  3.92
Mn2 0.000 0.000 0.500  3.93
Cu1 0.000 0.000 0.000  -0.21
Cu2 0.500 0.000 0.500  -0.22
Br1 0.233 0.251 0.110  0.00
Br2 0.233 0.749 0.890  0.00
Br3 0.767 0.251 0.890  0.00
Br4 0.767 0.749 0.110  0.00
Br5 0.750 0.768 0.611  -0.01
Br6 0.750 0.232 0.389  -0.01
Br7 0.250 0.768 0.389  -0.01
Br8 0.250 0.232 0.611  -0.01

Output
For the total moment, the calculation gives 4.0 μB per formula unit. For the formation energy without anion corrections, the calculation gives -522 meV/atom. The symmetry is P222 (16). For the volume, the calculation gives 422 Å³ per cell.